# Sr2TeO4 (PBE, optimized geometry)
# - Total magnetic moment: 0.000 Bohr magnetons per cell
# - Uncorrected formation energy: -2.089 eV/atom
data_Sr2TeO4
_cell_length_a 6.207
_cell_length_b 5.967
_cell_length_c 7.746
_cell_angle_alpha 90.00
_cell_angle_beta 111.16
_cell_angle_gamma 90.00
_symmetry_space_group_name_H-M 'P 1 21/m 1'
_symmetry_Int_Tables_number 11
loop_
_symmetry_equiv_pos_as_xyz
'x,y,z'
'-x,-y,-z'
'-x,y+1/2,-z'
'x,-y+1/2,z'
loop_
_atom_site_label
_atom_site_type_symbol
_atom_site_fract_x
_atom_site_fract_y
_atom_site_fract_z
Sr1 Sr 0.143 0.250 0.173
Sr2 Sr 0.260 0.750 0.467
Te1 Te 0.362 0.250 0.772
O1 O 0.049 0.250 0.842
O2 O 0.148 0.250 0.516
O3 O 0.468 0.503 0.289

***

# SrTeO3 (PBE, optimized geometry)
# - Total magnetic moment: 0.000 Bohr magnetons per cell
# - Uncorrected formation energy: -1.947 eV/atom
data_SrTeO3
_cell_length_a 6.763
_cell_length_b 8.871
_cell_length_c 5.984
_cell_angle_alpha 90.00
_cell_angle_beta 90.00
_cell_angle_gamma 90.00
_symmetry_space_group_name_H-M 'P n m a'
_symmetry_Int_Tables_number 62
loop_
_symmetry_equiv_pos_as_xyz
'x,y,z'
'-x,-y,-z'
'-x+1/2,-y,z+1/2'
'x+1/2,y,-z+1/2'
'x+1/2,-y+1/2,-z+1/2'
'-x+1/2,y+1/2,z+1/2'
'-x,y+1/2,-z'
'x,-y+1/2,z'
loop_
_atom_site_label
_atom_site_type_symbol
_atom_site_fract_x
_atom_site_fract_y
_atom_site_fract_z
Sr1 Sr 0.000 0.000 0.000
Te1 Te 0.010 0.250 0.487
O1 O 0.086 0.250 0.793
O2 O 0.166 0.090 0.367

***

# Sr3Te5O12 (PBE, optimized geometry)
# - Total magnetic moment: 0.002 Bohr magnetons per cell
# - Uncorrected formation energy: -1.354 eV/atom
data_Sr3Te5O12
_cell_length_a 13.983
_cell_length_b 13.983
_cell_length_c 13.983
_cell_angle_alpha 90.00
_cell_angle_beta 90.00
_cell_angle_gamma 90.00
_symmetry_space_group_name_H-M 'I a -3 d'
_symmetry_Int_Tables_number 230
_symmetry_space_group_name_Hall '-I 4bd 2c 3'
loop_
_atom_site_label
_atom_site_type_symbol
_atom_site_fract_x
_atom_site_fract_y
_atom_site_fract_z
Sr1 Sr 0.000 0.250 0.125
Te1 Te 0.000 0.000 0.000
Te2 Te 0.000 0.250 0.375
O1 O 0.024 0.051 0.648

***

# Sr3TeO6 (PBE, optimized geometry)
# - Total magnetic moment: 0.010 Bohr magnetons per cell
# - Uncorrected formation energy: -2.330 eV/atom
data_Sr3TeO6
_cell_length_a 11.857
_cell_length_b 11.910
_cell_length_c 11.915
_cell_angle_alpha 119.90
_cell_angle_beta 90.25
_cell_angle_gamma 119.60
_symmetry_space_group_name_H-M 'P -1'
_symmetry_Int_Tables_number 2
loop_
_symmetry_equiv_pos_as_xyz
'x,y,z'
'-x,-y,-z'
loop_
_atom_site_label
_atom_site_type_symbol
_atom_site_fract_x
_atom_site_fract_y
_atom_site_fract_z
Sr1 Sr 0.080 0.241 0.370
Sr2 Sr 0.114 0.727 0.371
Sr3 Sr 0.129 0.284 0.923
Sr4 Sr 0.138 0.726 0.869
Sr5 Sr 0.216 0.996 0.268
Sr6 Sr 0.275 0.467 0.734
Sr7 Sr 0.276 0.055 0.778
Sr8 Sr 0.276 0.498 0.280
Sr9 Sr 0.351 0.739 0.118
Sr10 Sr 0.361 0.206 0.128
Sr11 Sr 0.377 0.768 0.650
Sr12 Sr 0.383 0.223 0.609
Te1 Te 0.000 0.000 0.000
Te2 Te 0.000 0.000 0.500
Te3 Te 0.000 0.500 0.000
Te4 Te 0.000 0.500 0.500
Te5 Te 0.500 0.000 0.000
Te6 Te 0.500 0.000 0.500
Te7 Te 0.500 0.500 0.000
Te8 Te 0.500 0.500 0.500
O1 O 0.005 0.149 0.679
O2 O 0.077 0.450 0.354
O3 O 0.091 0.022 0.868
O4 O 0.103 0.931 0.043
O5 O 0.110 0.481 0.607
O6 O 0.114 0.511 0.132
O7 O 0.114 0.963 0.577
O8 O 0.115 0.725 0.099
O9 O 0.126 0.496 0.891
O10 O 0.142 0.728 0.597
O11 O 0.149 0.218 0.146
O12 O 0.166 0.173 0.507
O13 O 0.328 0.484 0.489
O14 O 0.335 0.337 0.831
O15 O 0.337 0.956 0.397
O16 O 0.353 0.981 0.901
O17 O 0.377 0.522 0.107
O18 O 0.394 0.766 0.875
O19 O 0.397 0.782 0.444
O20 O 0.401 0.988 0.130
O21 O 0.406 0.269 0.377
O22 O 0.444 0.063 0.663
O23 O 0.480 0.330 0.007
O24 O 0.497 0.496 0.665

***

# SrTe3O8 (PBE, optimized geometry)
# - Total magnetic moment: 0.000 Bohr magnetons per cell
# - Uncorrected formation energy: -1.412 eV/atom
data_SrTe3O8
_cell_length_a 6.962
_cell_length_b 6.962
_cell_length_c 6.856
_cell_angle_alpha 90.00
_cell_angle_beta 90.00
_cell_angle_gamma 90.00
_symmetry_space_group_name_H-M 'P 42/m'
_symmetry_Int_Tables_number 84
loop_
_symmetry_equiv_pos_as_xyz
'x,y,z'
'-x,-y,-z'
'-y,x,z+1/2'
'y,-x,-z+1/2'
'-x,-y,z'
'x,y,-z'
'y,-x,z+1/2'
'-y,x,-z+1/2'
loop_
_atom_site_label
_atom_site_type_symbol
_atom_site_fract_x
_atom_site_fract_y
_atom_site_fract_z
Sr1 Sr 0.000 0.000 0.250
Te1 Te 0.000 0.500 0.000
Te2 Te 0.215 0.566 0.500
O1 O 0.046 0.322 0.500
O2 O 0.117 0.243 0.000
O3 O 0.188 0.588 0.194

***

# SrTeO3 (PBE, optimized geometry)
# - Total magnetic moment: 0.000 Bohr magnetons per cell
# - Uncorrected formation energy: -1.939 eV/atom
data_SrTeO3
_cell_length_a 5.961
_cell_length_b 9.243
_cell_length_c 12.354
_cell_angle_alpha 69.88
_cell_angle_beta 89.83
_cell_angle_gamma 87.33
_symmetry_space_group_name_H-M 'P 1'
_symmetry_Int_Tables_number 1
loop_
_symmetry_equiv_pos_as_xyz
'x,y,z'
loop_
_atom_site_label
_atom_site_type_symbol
_atom_site_fract_x
_atom_site_fract_y
_atom_site_fract_z
Sr1 Sr 0.000 0.000 0.000
Sr2 Sr 0.018 0.975 0.498
Sr3 Sr 0.442 0.950 0.747
Sr4 Sr 0.482 0.978 0.257
Sr5 Sr 0.520 0.661 0.079
Sr6 Sr 0.958 0.293 0.177
Te1 Te 0.013 0.737 0.280
Te2 Te 0.130 0.298 0.663
Te3 Te 0.465 0.281 0.965
Te4 Te 0.512 0.281 0.381
Te5 Te 0.574 0.694 0.604
Te6 Te 0.977 0.689 0.897
O1 O 0.075 0.903 0.328
O2 O 0.174 0.159 0.817
O3 O 0.178 0.142 0.597
O4 O 0.220 0.805 0.915
O5 O 0.240 0.792 0.167
O6 O 0.246 0.169 0.070
O7 O 0.264 0.204 0.326
O8 O 0.297 0.786 0.631
O9 O 0.406 0.388 0.635
O10 O 0.428 0.472 0.983
O11 O 0.604 0.774 0.444
O12 O 0.605 0.441 0.251
O13 O 0.714 0.180 0.064
O14 O 0.724 0.135 0.359
O15 O 0.742 0.841 0.646
O16 O 0.750 0.841 0.902
O17 O 0.769 0.825 0.178
O18 O 0.936 0.564 0.052

***

# SrTeO3 (PBE, optimized geometry)
# - Total magnetic moment: 0.000 Bohr magnetons per cell
# - Uncorrected formation energy: -1.906 eV/atom
data_SrTeO3
_cell_length_a 7.942
_cell_length_b 7.003
_cell_length_c 8.312
_cell_angle_alpha 90.00
_cell_angle_beta 116.33
_cell_angle_gamma 90.00
_symmetry_space_group_name_H-M 'P 1 21/c 1'
_symmetry_Int_Tables_number 14
loop_
_symmetry_equiv_pos_as_xyz
'x,y,z'
'-x,-y,-z'
'-x,y+1/2,-z+1/2'
'x,-y+1/2,z+1/2'
loop_
_atom_site_label
_atom_site_type_symbol
_atom_site_fract_x
_atom_site_fract_y
_atom_site_fract_z
Sr1 Sr 0.129 0.234 0.083
Te1 Te 0.280 0.627 0.378
O1 O 0.027 0.574 0.198
O2 O 0.208 0.616 0.567
O3 O 0.351 0.136 0.889

***

# Sr2Te2O7 (PBE, optimized geometry)
# - Total magnetic moment: 0.000 Bohr magnetons per cell
# - Uncorrected formation energy: -1.742 eV/atom
data_Sr2Te2O7
_cell_length_a 8.363
_cell_length_b 9.592
_cell_length_c 5.376
_cell_angle_alpha 90.00
_cell_angle_beta 102.78
_cell_angle_gamma 90.00
_symmetry_space_group_name_H-M 'C 1 2/m 1'
_symmetry_Int_Tables_number 12
loop_
_symmetry_equiv_pos_as_xyz
'x,y,z'
'-x,-y,-z'
'-x,y,-z'
'x,-y,z'
'x+1/2,y+1/2,z'
'-x+1/2,-y+1/2,-z'
'-x+1/2,y+1/2,-z'
'x+1/2,-y+1/2,z'
loop_
_atom_site_label
_atom_site_type_symbol
_atom_site_fract_x
_atom_site_fract_y
_atom_site_fract_z
Sr1 Sr 0.000 0.204 0.000
Te1 Te 0.234 0.500 0.421
O1 O 0.000 0.500 0.500
O2 O 0.089 0.000 0.291
O3 O 0.244 0.156 0.783

***

- The highest uncorrected formation energy belongs to which entry?
  Sr3Te5O12

***

- Among the records above, which one has the highest total magnetic moment?
  Sr3TeO6

***

- What is the uncorrected formation energy in the fourth record?
  -2.330 eV/atom